Below is InHg2Ir after structural relaxation, with properties calculated at the GGA-PBE level.

Lattice parameters (Å, degrees): 4.8294 4.8294 4.8294 60.00 60.00 60.00
Closest atoms and distances in Å follow each position.
Fractional coordinates of all 4 atoms:
Ir1 0.2500 0.2500 0.2500  4 Hg 2.96, 4 In 2.96
Hg1 0.7500 0.7500 0.7500  4 In 2.96, 4 Hg 2.96
Hg2 0.0000 0.0000 0.0000  4 Ir 2.96, 4 Hg 2.96
In1 0.5000 0.5000 0.5000  4 Hg 2.96, 4 Ir 2.96

The formation enthalpy at 0 K comes out at 0.42 eV/atom. Its calculated density is 14765 kg/m³. The calculated total energy is -2.632 eV per atom. Its space-group type is F-43m, No. 216.

---

Below is InHg2Ir after structural relaxation, with properties calculated at the GGA-PBE level.

Lattice parameters (Å, degrees): 5.3153 5.3153 5.3153 133.32 133.21 68.24
Closest atoms and distances in Å follow each position.
Fractional coordinates of all 4 atoms:
Ir1 0.2508 0.7508 0.5000  8 Hg 2.98-3.05, 4 In 3.04-3.06
In1 0.4993 0.4993 0.0000  8 Hg 2.98-3.05, 4 Ir 3.04-3.06
Hg1 0.0003 0.0003 0.0000  4 In 2.98, 4 Hg 3.04-3.05, 4 Ir 3.05
Hg2 0.7495 0.2495 0.5000  4 Ir 2.98, 4 Hg 3.04-3.05, 4 In 3.05

The formation enthalpy at 0 K comes out at 0.31 eV/atom. Its calculated density is 15034 kg/m³. The calculated total energy is -2.741 eV per atom. Its space-group type is Imm2, No. 44.